A plane-wave DFT calculation with PBE was carried out for a geometry-optimized NaTeSe3 structure.

The calculation puts the magnetic moment at 0.00 Bohr magnetons per cell. As for the relative energy among the computed polymorphs: 274 meV/atom. The calculated volume comes out at 31.8 Å³ per atom. For the uncorrected formation energy, the calculation gives -0.026 eV/atom. As for the total DFT energy (no corrections): -3.01 eV/atom.

The space group is Pm-3m (No. 221) and the conventional cell measures 5.415, 5.415 and 5.415 Å, with angles of 90.00, 90.00 and 90.00 degrees. Symmetry generates all atoms from Na at (0.000, 0.000, 0.000), Te at (0.500, 0.500, 0.500) and Se at (0.000, 0.500, 0.500).